<i>
# Ba2YTaPd PBE-GGA optimized geometry
# D(E_F), states/eV/f.u.: 5.82
data_Ba2YTaPd
_symmetry_space_group_name_H-M 'P 4/m m m'
_symmetry_Int_Tables_number 123
_symmetry_space_group_name_Hall '-P 4 2'
_cell_length_a 5.997
_cell_length_b 5.997
_cell_length_c 5.393
_cell_angle_alpha 90.00
_cell_angle_beta 90.00
_cell_angle_gamma 90.00
loop_
_atom_site_label
_atom_site_type_symbol
_atom_site_fract_x
_atom_site_fract_y
_atom_site_fract_z
Ba1 Ba 0.000 0.500 0.000
Y1 Y 0.000 0.000 0.500
Ta1 Ta 0.000 0.000 0.000
Pd1 Pd 0.500 0.500 0.500

---

<ii>
# Ba2YTaPd PBE-GGA optimized geometry
# D(E_F), states/eV/f.u.: 6.28
data_Ba2YTaPd
_symmetry_space_group_name_H-M 'P 4/m m m'
_symmetry_Int_Tables_number 123
_symmetry_space_group_name_Hall '-P 4 2'
_cell_length_a 6.167
_cell_length_b 6.167
_cell_length_c 5.024
_cell_angle_alpha 90.00
_cell_angle_beta 90.00
_cell_angle_gamma 90.00
loop_
_atom_site_label
_atom_site_type_symbol
_atom_site_fract_x
_atom_site_fract_y
_atom_site_fract_z
Ba1 Ba 0.000 0.500 0.000
Y1 Y 0.000 0.000 0.500
Ta1 Ta 0.500 0.500 0.500
Pd1 Pd 0.500 0.500 0.000

---

Name the least stable of them. <i>.

---

<i>
# Ba2TcPd PBE-GGA optimized geometry
# D(E_F), states/eV/f.u.: 4.86
data_Ba2TcPd
_symmetry_space_group_name_H-M 'I -4 2 d'
_symmetry_Int_Tables_number 122
_symmetry_space_group_name_Hall 'I -4 2bw'
_cell_length_a 8.588
_cell_length_b 8.588
_cell_length_c 6.739
_cell_angle_alpha 90.00
_cell_angle_beta 90.00
_cell_angle_gamma 90.00
loop_
_atom_site_label
_atom_site_type_symbol
_atom_site_fract_x
_atom_site_fract_y
_atom_site_fract_z
Ba1 Ba 0.233 0.250 0.125
Tc1 Tc 0.000 0.000 0.500
Pd1 Pd 0.000 0.000 0.000

---

<ii>
# Ba2TcPd PBE-GGA optimized geometry
# D(E_F), states/eV/f.u.: 6.82
data_Ba2TcPd
_symmetry_space_group_name_H-M 'F m -3 m'
_symmetry_Int_Tables_number 225
_symmetry_space_group_name_Hall '-F 4 2 3'
_cell_length_a 7.885
_cell_length_b 7.885
_cell_length_c 7.885
_cell_angle_alpha 90.00
_cell_angle_beta 90.00
_cell_angle_gamma 90.00
loop_
_atom_site_label
_atom_site_type_symbol
_atom_site_fract_x
_atom_site_fract_y
_atom_site_fract_z
Ba1 Ba 0.250 0.250 0.250
Tc1 Tc 0.000 0.000 0.000
Pd1 Pd 0.000 0.000 0.500

---

Name the least stable of them. <i>.

---

<i>
# BaTc2Pd PBE-GGA optimized geometry
# D(E_F), states/eV/f.u.: 7.05
data_BaTc2Pd
_symmetry_space_group_name_H-M 'F m -3 m'
_symmetry_Int_Tables_number 225
_symmetry_space_group_name_Hall '-F 4 2 3'
_cell_length_a 6.695
_cell_length_b 6.695
_cell_length_c 6.695
_cell_angle_alpha 90.00
_cell_angle_beta 90.00
_cell_angle_gamma 90.00
loop_
_atom_site_label
_atom_site_type_symbol
_atom_site_fract_x
_atom_site_fract_y
_atom_site_fract_z
Ba1 Ba 0.000 0.000 0.000
Tc1 Tc 0.250 0.250 0.250
Pd1 Pd 0.000 0.000 0.500

---

<ii>
# BaTc2Pd PBE-GGA optimized geometry
# D(E_F), states/eV/f.u.: 5.52
data_BaTc2Pd
_symmetry_space_group_name_H-M 'I 41/a m d'
_symmetry_Int_Tables_number 141
_cell_length_a 4.668
_cell_length_b 4.668
_cell_length_c 19.212
_cell_angle_alpha 90.00
_cell_angle_beta 90.00
_cell_angle_gamma 90.00
loop_
_symmetry_equiv_pos_as_xyz
'x,y,z'
'-x,-y,-z'
'-y+1/4,x+3/4,z+1/4'
'y+1/4,-x+3/4,-z+1/4'
'-x+1/2,-y,z+1/2'
'x+1/2,y,-z+1/2'
'y+1/4,-x+1/4,z+3/4'
'-y+1/4,x+1/4,-z+3/4'
'x,-y,-z'
'-x,y,z'
'-y+1/4,-x+1/4,-z+3/4'
'y+1/4,x+1/4,z+3/4'
'-x+1/2,y,-z+1/2'
'x+1/2,-y,z+1/2'
'y+1/4,x+3/4,-z+1/4'
'-y+1/4,-x+3/4,z+1/4'
'x+1/2,y+1/2,z+1/2'
'-x+1/2,-y+1/2,-z+1/2'
'-y+3/4,x+1/4,z+3/4'
'y+3/4,-x+1/4,-z+3/4'
'-x,-y+1/2,z'
'x,y+1/2,-z'
'y+3/4,-x+3/4,z+1/4'
'-y+3/4,x+3/4,-z+1/4'
'x+1/2,-y+1/2,-z+1/2'
'-x+1/2,y+1/2,z+1/2'
'-y+3/4,-x+3/4,-z+1/4'
'y+3/4,x+3/4,z+1/4'
'-x,y+1/2,-z'
'x,-y+1/2,z'
'y+3/4,x+1/4,-z+3/4'
'-y+3/4,-x+1/4,z+3/4'
loop_
_atom_site_label
_atom_site_type_symbol
_atom_site_fract_x
_atom_site_fract_y
_atom_site_fract_z
Ba1 Ba 0.000 0.250 0.375
Tc1 Tc 0.000 0.000 0.000
Pd1 Pd 0.000 0.250 0.875

---

Name the least stable of them. <i>.